! Nd3Sm3Pt2 PBE-GGA optimized geometry; values from VASP
! Space group ... Cmcm, No. 63
! DOS(E_F) ... 1.282 states/eV per atom
! Formation energy from the elements ... -12.3 kcal/mol of atoms
&SYSTEM
  ibrav = 0, nat = 16, ntyp = 3
/
ATOMIC_SPECIES
Nd 144.24 Nd.upf
Pt 195.08 Pt.upf
Sm 150.36 Sm.upf
CELL_PARAMETERS angstrom
-2.3253 -0.8380 3.0245
2.8179 -6.0962 -2.0448
14.2855 2.6712 11.7231
ATOMIC_POSITIONS angstrom
Nd 13.1560 1.7073 10.5877
Nd 1.6221 -5.9703 2.1151
Nd 3.0668 -2.3415 4.2313
Nd 11.7112 -1.9215 8.4715
Nd 6.1407 -5.1254 5.8233
Nd 8.6373 0.8624 6.8795
Pt 8.6027 -1.5369 8.7103
Pt 2.8498 -3.3479 1.2634
Pt 6.1754 -2.7261 3.9925
Pt 11.9283 -0.9151 11.4394
Sm 14.5948 -1.8015 10.7217
Sm 0.1833 -2.4614 1.9811
Sm 9.0311 -2.8419 6.1559
Sm 9.7936 0.6313 10.2267
Sm 4.9845 -4.8943 2.4761
Sm 5.7470 -1.4211 6.5469